Record 1
Compound: Ba3Os4
Source: the Alexandria database
Functional: PBE
Structure: relaxed

Values from the calculation:
ΔH_f (0 K): 1888 meV per atom

abc: 7.2420 7.2420 4.7017
angles: 90.00 90.00 120.00
Atoms (fractional coordinates):
1 Ba 0.0000 0.5000 0.0000
2 Ba 0.5000 0.0000 0.0000
3 Ba 0.5000 0.5000 0.0000
4 Os 0.0000 0.0000 0.2468
5 Os 0.0000 0.0000 0.7532
6 Os 0.3333 0.6667 0.5000
7 Os 0.6667 0.3333 0.5000

***

Record 2
Compound: Cs2CdTeI
Source: the Alexandria database
Functional: PBE
Structure: relaxed

Values from the calculation:
E_form (uncorrected): -849 meV per atom

abc: 7.4143 7.4143 5.7205
angles: 90.00 90.00 90.00
Atoms (fractional coordinates):
1 Cs 0.0000 0.5000 0.0000
2 Cs 0.5000 0.0000 0.0000
3 Cd 0.0000 0.0000 0.5000
4 Te 0.0000 0.0000 0.0000
5 I 0.5000 0.5000 0.5000

***

Record 3
Compound: BaPrGd2
Source: the Alexandria database
Functional: PBE
Structure: relaxed

Values from the calculation:
ΔH_f (0 K): 200 meV per atom

abc: 13.1802 13.1802 13.1802
angles: 16.04 16.04 16.04
Atoms (fractional coordinates):
1 Ba 0.0000 0.0000 0.0000
2 Pr 0.5000 0.5000 0.5000
3 Gd 0.0926 0.0926 0.0926
4 Gd 0.9074 0.9074 0.9074

***

Record 4
Compound: Pm7Tm3
Source: the Alexandria database
Functional: PBE
Structure: relaxed

Values from the calculation:
ΔH_f (0 K): 16 meV per atom

abc: 9.5285 9.5285 7.1884
angles: 101.21 101.21 31.05
Atoms (fractional coordinates):
1 Pm 0.0000 0.0000 0.0000
2 Pm 0.2001 0.2001 0.6007
3 Pm 0.3989 0.3989 0.1981
4 Pm 0.4004 0.4004 0.7008
5 Pm 0.5996 0.5996 0.2992
6 Pm 0.6011 0.6011 0.8019
7 Pm 0.7999 0.7999 0.3993
8 Tm 0.0000 0.0000 0.5000
9 Tm 0.2010 0.2010 0.1004
10 Tm 0.7990 0.7990 0.8996

***

Record 5
Compound: Er5Al2Hg2
Source: the Alexandria database
Functional: PBE
Structure: relaxed

Values from the calculation:
ΔH_f (0 K): -380 meV per atom

abc: 8.9301 8.9301 7.6054
angles: 90.00 90.00 50.89
Atoms (fractional coordinates):
1 Er 0.0000 0.0000 0.0000
2 Er 0.0481 0.6835 0.6738
3 Er 0.1835 0.5481 0.1738
4 Er 0.3165 0.9519 0.6738
5 Er 0.4519 0.8165 0.1738
6 Er 0.5000 0.5000 0.5000
7 Er 0.5481 0.1835 0.8262
8 Er 0.6835 0.0481 0.3262
9 Er 0.8165 0.4519 0.8262
10 Er 0.9519 0.3165 0.3262
11 Al 0.1200 0.8800 0.3791
12 Al 0.3800 0.6200 0.8791
13 Al 0.6200 0.3800 0.1209
14 Al 0.8800 0.1200 0.6209
15 Hg 0.2147 0.2147 0.0000
16 Hg 0.2853 0.2853 0.5000
17 Hg 0.7147 0.7147 0.5000
18 Hg 0.7853 0.7853 0.0000

***

Record 6
Compound: NdNpTe2O
Source: the Alexandria database
Functional: PBE
Structure: relaxed

Values from the calculation:
E_form (uncorrected): -1749 meV per atom

abc: 4.1874 4.1874 16.0705
angles: 90.00 90.00 90.00
Atoms (fractional coordinates):
1 Nd 0.2500 0.2500 0.1379
2 Nd 0.7500 0.7500 0.8621
3 Np 0.2500 0.2500 0.5664
4 Np 0.7500 0.7500 0.4336
5 Te 0.2500 0.2500 0.3277
6 Te 0.2500 0.2500 0.9181
7 Te 0.7500 0.7500 0.0819
8 Te 0.7500 0.7500 0.6723
9 O 0.2500 0.7500 0.5000
10 O 0.7500 0.2500 0.5000

***

Record 7
Compound: LaNb2FeSn
Source: the Alexandria database
Functional: PBE
Structure: relaxed

Values from the calculation:
ΔH_f (0 K): 2345 meV per atom

abc: 4.8784 4.8784 5.7467
angles: 90.00 90.00 90.00
Atoms (fractional coordinates):
1 La 0.0000 0.0000 0.0000
2 Nb 0.0000 0.5000 0.0000
3 Nb 0.5000 0.0000 0.0000
4 Fe 0.5000 0.5000 0.5000
5 Sn 0.0000 0.0000 0.5000

***

Record 8
Compound: HoTm2IrO8
Source: the Alexandria database
Functional: PBE
Structure: relaxed

Values from the calculation:
E_form (uncorrected): -2403 meV per atom

abc: 4.9852 4.9852 6.7024
angles: 90.00 90.00 90.56
Atoms (fractional coordinates):
1 Ho 0.0000 0.0000 0.0000
2 Tm 0.5000 0.5000 0.2473
3 Tm 0.5000 0.5000 0.7527
4 Ir 0.0000 0.0000 0.5000
5 O 0.1858 0.8142 0.2878
6 O 0.1858 0.8142 0.7122
7 O 0.2726 0.2726 0.5000
8 O 0.3088 0.3088 0.0000
9 O 0.6912 0.6912 0.0000
10 O 0.7274 0.7274 0.5000
11 O 0.8142 0.1858 0.2878
12 O 0.8142 0.1858 0.7122

***

Record 9
Compound: Ca2AgTeH
Source: the Alexandria database
Functional: PBE
Structure: relaxed

Values from the calculation:
Raw total energy: -2.462 eV/atom

abc: 5.9148 5.9148 5.4297
angles: 90.00 90.00 90.00
Atoms (fractional coordinates):
1 Ca 0.0000 0.5000 0.0000
2 Ca 0.5000 0.0000 0.0000
3 Ag 0.0000 0.0000 0.5000
4 Te 0.0000 0.0000 0.0000
5 H 0.5000 0.5000 0.5000

***

Record 10
Compound: Na7LiTl3
Source: the Alexandria database
Functional: PBE
Structure: relaxed

Values from the calculation:
ΔH_f (0 K): -33 meV per atom

abc: 9.1804 9.1804 4.7686
angles: 90.00 90.00 120.00
Atoms (fractional coordinates):
1 Na 0.0000 0.0000 0.9998
2 Na 0.0307 0.5154 0.0000
3 Na 0.1755 0.3509 0.5001
4 Na 0.1755 0.8245 0.5001
5 Na 0.4846 0.5154 0.0000
6 Na 0.4846 0.9693 0.0000
7 Na 0.6491 0.8245 0.5001
8 Li 0.6667 0.3333 0.9963
9 Tl 0.4250 0.2125 0.4980
10 Tl 0.7875 0.2125 0.4980
11 Tl 0.7875 0.5750 0.4980

***

Record 11
Compound: CaHgRh2
Source: the Alexandria database
Functional: PBE
Structure: relaxed

Values from the calculation:
ΔH_f (0 K): 137 meV per atom

abc: 10.0924 10.0924 10.0924
angles: 155.64 155.64 34.71
Atoms (fractional coordinates):
1 Ca 0.0000 0.0000 0.0000
2 Ca 0.7500 0.2500 0.5000
3 Hg 0.2500 0.7500 0.5000
4 Hg 0.5000 0.5000 0.0000
5 Rh 0.2129 0.6250 0.0879
6 Rh 0.3750 0.4629 0.5879
7 Rh 0.5371 0.1250 0.9121
8 Rh 0.8750 0.7871 0.4121

***

Record 12
Compound: LiP2H
Source: the Alexandria database
Functional: PBE
Structure: relaxed

Values from the calculation:
Raw total energy: -4.259 eV/atom

abc: 6.4778 5.0325 8.5002
angles: 90.00 102.71 90.00
Atoms (fractional coordinates):
1 Li 0.1414 0.0166 0.3767
2 Li 0.1414 0.4834 0.8767
3 Li 0.8586 0.5166 0.1233
4 Li 0.8586 0.9834 0.6233
5 P 0.1282 0.1168 0.0823
6 P 0.1282 0.3832 0.5823
7 P 0.3817 0.6366 0.5337
8 P 0.3817 0.8634 0.0337
9 P 0.6183 0.1366 0.9663
10 P 0.6183 0.3634 0.4663
11 P 0.8718 0.6168 0.4177
12 P 0.8718 0.8832 0.9177
13 H 0.4907 0.1907 0.8090
14 H 0.4907 0.3093 0.3090
15 H 0.5093 0.6907 0.6910
16 H 0.5093 0.8093 0.1910